The following is a GGA-PBE calculation of crystalline VTcRuW at its relaxed geometry, from Alexandria.

As for the crystal system: cubic. The calculation puts the magnetic moment at 0.0 μB/cell. The electronic total energy is -10.49 eV/atom. The energy of formation comes out at -0.066 eV per atom.

The space group is F-43m (No. 216) and the conventional cell measures 6.158, 6.158 and 6.158 Å, with angles of 90.00, 90.00 and 90.00 degrees. Symmetry generates all atoms from V at (0.000, 0.000, 0.000), Tc at (0.250, 0.250, 0.750), Ru at (0.250, 0.250, 0.250) and W at (0.000, 0.000, 0.500).